{
  "formula": "La2V2Cl",
  "functional": "PBE",
  "state": "optimized geometry",
  "lattice": [[3.576, 0.000, 0.000], [0.000, 3.576, 0.000], [1.788, 1.788, 9.498]],
  "species": ["La", "La", "V", "V", "Cl"],
  "frac_coords": [[0.385, 0.385, 0.230], [0.615, 0.615, 0.770], [0.750, 0.250, 0.500], [0.250, 0.750, 0.500], [0.000, 0.000, 0.000]],
  "energy_ev_per_atom": -6.134,
  "e_form_raw_ev_per_atom": -0.15,
  "de_polymorph_ev_per_fu": 0.000
}